[1]
5
Lattice="-1.726 1.726 7.291 1.726 -1.726 7.291 1.726 1.726 -7.291" Properties=species:S:1:pos:R:3 comment="HfNb2Si2 PBEsol relaxed" space_group="I4/mmm, No. 139" total_energy_ev_per_atom=-8.826 crystal_system=tetragonal e_form_raw_ev_per_atom=-0.10 polymorph_energy_mev_per_atom=714 pbc="T T T"
Hf 0.000 0.000 0.000
Nb 0.000 0.000 5.671
Nb 0.000 0.000 8.911
Si 1.726 0.000 3.646
Si 0.000 1.726 3.646



[2]
4
Lattice="3.080 0.000 0.000 0.000 3.080 0.000 0.000 0.000 4.615" Properties=species:S:1:pos:R:3 comment="InC3 PBEsol relaxed" space_group="P4/mmm, No. 123" total_energy_ev_per_atom=-4.744 crystal_system=tetragonal polymorph_energy_mev_per_atom=975 e_form_ev_per_atom=3.235 pbc="T T T"
In 0.000 0.000 0.000
C 0.000 1.540 2.307
C 1.540 0.000 2.307
C 1.540 1.540 0.000



[3]
4
Lattice="0.000 3.290 3.290 3.290 0.000 3.290 3.290 3.290 0.000" Properties=species:S:1:pos:R:3 comment="LiCd2Ag PBEsol relaxed" space_group="F-43m, No. 216" total_energy_ev_per_atom=-2.113 crystal_system=cubic polymorph_energy_mev_per_atom=28 e_form_ev_per_atom=-0.195 pbc="T T T"
Li 0.000 0.000 0.000
Cd 1.645 1.645 1.645
Cd 3.290 3.290 3.290
Ag 4.935 4.935 4.935



Total magnetic moment readings, ordered: 0.000, 0.000, 0.000 μB per formula unit